<w>
The following is a GGA-PBE calculation of a relaxed RbCoGe crystal, from the Open Quantum Materials Database.

```
RbCoGe
1.0
0.000 3.498 3.498
3.498 0.000 3.498
3.498 3.498 0.000
Ge Co Rb
1 1 1
direct
0.000 0.000 0.000
0.250 0.250 0.250
0.750 0.750 0.750
```

Calculated values
Its calculated density is 4.21 Mg/m³.

<x>
The following is a GGA-PBE calculation of a relaxed RbCoGe crystal, from the Open Quantum Materials Database.

```
RbCoGe
1.0
0.526 -3.035 -3.488
2.118 -4.074 0.759
-2.465 -3.947 -0.042
Co Ge Rb
1 1 1
direct
0.000 0.000 0.000
0.250 0.250 0.250
0.750 0.750 0.750
```

Calculated values
Its calculated density is 5.06 Mg/m³.

<y>
The following is a GGA-PBE calculation of a relaxed RbCoGe crystal, from the Open Quantum Materials Database.

```
RbCoGe
1.0
0.000 3.748 3.748
3.748 0.000 3.748
3.748 3.748 0.000
Ge Co Rb
1 1 1
direct
0.750 0.750 0.750
0.250 0.250 0.250
0.000 0.000 0.000
```

Calculated values
Its calculated density is 3.42 Mg/m³.

In order of decreasing stability: <x>, <w>, <y>.